TbSmPdRh GGA-PBE relaxed; V = 21.63 Å³/atom; formation enthalpy at 0 K = -3.225 eV per formula unit; energy relative to the lowest polymorph listed for this composition = 0.024 eV per atom; magnetization = 0.0 Bohr magnetons per cell; total energy = -6.280 eV/atom
1.0
4.965 0.000 0.000
2.482 4.299 0.000
2.482 1.433 4.054
Rh Tb Pd Sm
1 1 1 1
Direct
0.000 0.000 0.000
0.250 0.250 0.250
0.500 0.500 0.500
0.750 0.750 0.750